Entry 1:
This record from the Alexandria database describes an optimized crystal structure of Cd2InOs. The functional is PBE.

Cell lengths 3.005, 3.005, 9.103 Å; angles 90.00, 90.00, 90.00 degrees
Last column: magnetic moment on the atom in μB.
Fractional positions:
Cd 0.000 0.000 0.538  0.00
Cd 0.000 0.000 0.962  0.00
In 0.500 0.500 0.250  0.00
Os 0.500 0.500 0.750  0.73

Results
The energy relative to the elements is 0.519 eV per atom. The value obtained for the total magnetic moment is 0.77 μB per formula unit. The symmetry is No. 123. Its total energy is -3.43 eV/atom.


Entry 2:
This record from the Alexandria database describes an optimized crystal structure of Cd2InOs. The functional is PBE.

Cell lengths 2.894, 2.894, 11.095 Å; angles 90.00, 90.00, 117.14 degrees
Last column: magnetic moment on the atom in μB.
Fractional positions:
In 0.500 0.500 0.250  0.00
Os 0.500 0.500 0.750  0.40
Cd 0.000 0.000 0.967  0.00
Cd 0.000 0.000 0.533  0.00

Results
The energy relative to the elements is 0.530 eV per atom. The value obtained for the total magnetic moment is 0.42 μB per formula unit. The symmetry is No. 65. Its total energy is -3.42 eV/atom.